A plane-wave DFT calculation with PBE was carried out for a geometry-optimized ZrBeFeSi structure.

abc: 4.163 4.163 4.163
angles: 60.00 60.00 60.00
Fractional coordinates of all 4 atoms:
Si  0.000  0.000  0.000
Be  0.250  0.250  0.250
Fe  0.750  0.750  0.750
Zr  0.500  0.500  0.500

Summary:
Its space group is No. 216. For the density, the calculation gives 5.995 g/cm3. Its energy above the most stable polymorph in this dataset is 0 meV per atom. Its total energy is -6.807 eV/atom. The calculation puts the magnetization at 0.0006 μB/atom.

***

A plane-wave DFT calculation with PBE was carried out for a geometry-optimized ZrBeFeSi structure.

abc: 4.223 4.223 4.223
angles: 60.00 60.00 60.00
Fractional coordinates of all 4 atoms:
Fe  0.000  0.000  0.000
Be  0.750  0.750  0.750
Si  0.500  0.500  0.500
Zr  0.250  0.250  0.250

Summary:
Its space group is No. 216. For the density, the calculation gives 5.741 g/cm3. Its energy above the most stable polymorph in this dataset is 259 meV per atom. Its total energy is -6.549 eV/atom. The calculation puts the magnetization at 0.0047 μB/atom.

***

A plane-wave DFT calculation with PBE was carried out for a geometry-optimized ZrBeFeSi structure.

abc: 4.203 4.203 4.203
angles: 60.00 60.00 60.00
Fractional coordinates of all 4 atoms:
Si  0.250  0.250  0.250
Be  0.750  0.750  0.750
Fe  0.500  0.500  0.500
Zr  0.000  0.000  0.000

Summary:
Its space group is No. 216. For the density, the calculation gives 5.823 g/cm3. Its energy above the most stable polymorph in this dataset is 181 meV per atom. Its total energy is -6.627 eV/atom. The calculation puts the magnetization at 0.0022 μB/atom.

***

A plane-wave DFT calculation with PBE was carried out for a geometry-optimized Be2FeSn structure.

abc: 4.120 4.120 4.120
angles: 60.00 60.00 60.00
Last column: magnetic moment on the atom in μB.
Fractional coordinates of all 4 atoms:
Fe  0.000  0.000  0.000  0.68
Sn  0.250  0.250  0.250  0.00
Be  0.750  0.750  0.750  -0.01
Be  0.500  0.500  0.500  -0.02

Summary:
Its space group is No. 216. For the density, the calculation gives 6.466 g/cm3. Its total energy is -4.526 eV/atom. The calculation puts the magnetization at 0.1701 μB/atom.